# CaCr2BiRu

CaCr2BiRu after structural relaxation (PBE, Alexandria via LeMat-Bulk).

```
CaCr2BiRu
1.0
-0.3979 4.5983 -2.3471
-1.3911 -2.6876 -5.0295
-5.0148 0.2153 1.2720
Ru Ca Bi Cr
1 1 1 2
Direct
0.5000 0.5000 0.5000 Ru
0.0000 0.5000 0.0000 Ca
0.0000 0.0000 0.0000 Bi
0.0000 0.0000 0.5000 Cr
0.5000 0.0000 0.0000 Cr
```

Properties
- Formation energy: 7.63 eV per formula unit
- Total DFT energy (no corrections): -5.356 eV per atom